# 1
## Tb6Mg5Ga (PBE-GGA)

Data for Tb6Mg5Ga after structural relaxation.

The energy relative to the elements comes out at -0.172 eV per atom. The symmetry is Cmmm, No. 65.

Unit cell a=8.4005 b=8.4005 c=7.5462 alpha=90.00 beta=90.00 gamma=143.23
Last column: nearest neighbours and their distance in Å.
Element x y z (fractional)
Tb  0.0000  0.0000  0.2379  2 Ga 3.20, 6 Mg 3.29-3.34
Tb  0.0000  0.0000  0.7621  2 Ga 3.20, 6 Mg 3.29-3.34
Tb  0.3391  0.6609  0.2434  1 Ga 3.16, 7 Mg 3.21-3.34
Tb  0.3391  0.6609  0.7566  1 Ga 3.16, 7 Mg 3.21-3.34
Tb  0.6609  0.3391  0.2434  1 Ga 3.16, 7 Mg 3.21-3.34
Tb  0.6609  0.3391  0.7566  1 Ga 3.16, 7 Mg 3.21-3.34
Mg  0.1687  0.8313  0.5000  8 Tb 3.28-3.34
Mg  0.1730  0.8270  0.0000  8 Tb 3.22-3.29
Mg  0.5000  0.5000  0.5000  8 Tb 3.21-3.31
Mg  0.8270  0.1730  0.0000  8 Tb 3.22-3.29
Mg  0.8313  0.1687  0.5000  8 Tb 3.28-3.34
Ga  0.5000  0.5000  0.0000  8 Tb 3.16-3.20


# 2
## Sm2YTl2 (PBE-GGA)

Data for Sm2YTl2 after structural relaxation.

The energy relative to the elements comes out at -0.301 eV per atom. The symmetry is P2_1/m, No. 11.

Unit cell a=3.8037 b=5.4276 c=14.3839 alpha=90.00 beta=97.62 gamma=90.00
Last column: nearest neighbours and their distance in Å.
Element x y z (fractional)
Sm  0.0487  0.2500  0.0971  8 Tl 3.31-3.40
Sm  0.2383  0.2500  0.4752  2 Tl 3.26-3.27, 4 Sm 3.39
Sm  0.7617  0.7500  0.5248  2 Tl 3.26-3.27, 4 Sm 3.39
Sm  0.9513  0.7500  0.9029  8 Tl 3.31-3.40
Y  0.1475  0.7500  0.2971  6 Tl 3.31-3.39
Y  0.8525  0.2500  0.7029  6 Tl 3.31-3.39
Tl  0.3562  0.7500  0.7109  4 Sm 3.26-3.34, 4 Y 3.31-3.32
Tl  0.4495  0.2500  0.8990  6 Sm 3.31-3.40, 2 Y 3.38-3.39
Tl  0.5505  0.7500  0.1010  6 Sm 3.31-3.40, 2 Y 3.38-3.39
Tl  0.6438  0.2500  0.2891  4 Sm 3.26-3.34, 4 Y 3.31-3.32


# 3
## Tm2SnH (PBE-GGA)

Data for Tm2SnH after structural relaxation.

The symmetry is R-3m, No. 166. The total energy comes out at -0.3118 Ry per atom.

Unit cell a=7.2111 b=7.2111 c=7.2111 alpha=37.98 beta=37.98 gamma=37.98
Last column: nearest neighbours and their distance in Å.
Element x y z (fractional)
Tm  0.1021  0.1021  0.1021  1 H 2.05
Tm  0.8979  0.8979  0.8979  1 H 2.05
Sn  0.5000  0.5000  0.5000  6 Tm 3.00
H  0.0000  0.0000  0.0000  2 Tm 2.05


Sequential total magnetization output: 0.0; 0.0; 0.0 Bohr magnetons per cell